## HgN2F (PBE)

Data for crystalline HgN2F at its relaxed geometry.

a b c (Å): 3.9429 3.9429 3.9429
angles (deg): 60.00 60.00 60.00
Last column: nearest neighbours and their distance in Å.
Element x y z (fractional)
1 N 0.2500 0.2500 0.2500  4 Hg 2.41, 4 F 2.41
2 N 0.7500 0.7500 0.7500  4 Hg 2.41, 4 F 2.41
3 Hg 0.5000 0.5000 0.5000  8 N 2.41
4 F 0.0000 0.0000 0.0000  8 N 2.41

Output
- D(E_F): 3.11 states/eV per cell
- Space-group type: Fm-3m
- Formation energy without anion corrections: 2.0123 eV/atom
- Energy above the lowest structure with this stoichiometry: 2409 meV/atom

## HgN2F (PBE)

Data for crystalline HgN2F at its relaxed geometry.

a b c (Å): 4.8636 4.8636 4.8636
angles (deg): 45.88 45.88 45.88
Last column: nearest neighbours and their distance in Å.
Element x y z (fractional)
1 N 0.8411 0.8411 0.8411  1 Hg 2.07, 3 F 2.19, 3 N 2.20
2 N 0.1589 0.1589 0.1589  1 Hg 2.07, 3 F 2.19, 3 N 2.20
3 Hg 0.0000 0.0000 0.0000  2 N 2.07
4 F 0.5000 0.5000 0.5000  6 N 2.19

Output
- D(E_F): 1.26 states/eV per cell
- Space-group type: R-3m
- Formation energy without anion corrections: 1.6907 eV/atom
- Energy above the lowest structure with this stoichiometry: 2087 meV/atom

## Hg3NF2 (PBE)

Data for crystalline Hg3NF2 at its relaxed geometry.

a b c (Å): 5.1238 6.9960 8.0674
angles (deg): 82.36 95.21 114.77
Last column: nearest neighbours and their distance in Å.
Element x y z (fractional)
1 Hg 0.6533 0.3794 0.8874  1 F 2.10, 1 N 2.10
2 Hg 0.8835 0.8901 0.7448  1 N 2.06, 1 F 2.08
3 Hg 0.2103 0.5449 0.6148  1 N 2.15
4 Hg 0.7897 0.4551 0.3852  1 N 2.15
5 Hg 0.1165 0.1099 0.2552  1 N 2.06, 1 F 2.08
6 Hg 0.3467 0.6206 0.1126  1 F 2.10, 1 N 2.10
7 N 0.4783 0.3723 0.1796  3 Hg 2.06-2.15
8 N 0.5217 0.6277 0.8204  3 Hg 2.06-2.15
9 F 0.8366 0.1598 0.9422  1 Hg 2.10
10 F 0.1634 0.8402 0.0578  1 Hg 2.10
11 F 0.2471 0.1477 0.6557  1 Hg 2.08
12 F 0.7529 0.8523 0.3443  1 Hg 2.08

Output
- Space-group type: P-1
- Formation energy without anion corrections: -0.3949 eV/atom

## Hg5N2F3 (PBE)

Data for crystalline Hg5N2F3 at its relaxed geometry.

a b c (Å): 10.3290 6.4351 7.0996
angles (deg): 93.86 90.22 84.36
Last column: nearest neighbours and their distance in Å.
Element x y z (fractional)
1 Hg 0.5870 0.2175 0.8778  1 N 2.06, 1 F 2.07
2 Hg 0.0639 0.9097 0.2605  1 N 2.09, 1 F 2.12
3 Hg 0.4130 0.7825 0.1222  1 N 2.06, 1 F 2.07
4 Hg 0.9361 0.0903 0.7395  1 N 2.09, 1 F 2.12
5 Hg 0.0020 0.6362 0.8038  2 N 2.31-2.40
6 Hg 0.9980 0.3638 0.1962  2 N 2.31-2.40
7 Hg 0.7472 0.7944 0.2052  2 N 2.08-2.09
8 Hg 0.2528 0.2056 0.7948  2 N 2.08-2.09
9 Hg 0.4491 0.2490 0.4421  1 F 2.09, 1 N 2.09
10 Hg 0.5509 0.7510 0.5579  1 F 2.09, 1 N 2.09
11 N 0.9405 0.7063 0.1293  3 Hg 2.08-2.31
12 N 0.4434 0.1155 0.7022  3 Hg 2.06-2.09
13 N 0.0595 0.2937 0.8707  3 Hg 2.08-2.31
14 N 0.5566 0.8845 0.2978  3 Hg 2.06-2.09
15 F 0.5661 0.6239 0.8209  1 Hg 2.09
16 F 0.2236 0.0377 0.3984  1 Hg 2.12
17 F 0.4339 0.3761 0.1791  1 Hg 2.09
18 F 0.7764 0.9623 0.6016  1 Hg 2.12
19 F 0.2465 0.7472 0.9643  1 Hg 2.07
20 F 0.7535 0.2528 0.0357  1 Hg 2.07

Output
- D(E_F): 2.15 states/eV per cell
- Space-group type: P-1
- Formation energy without anion corrections: -0.1961 eV/atom